{"formula": "SbRu2S", "functional": "PBE", "state": "optimized geometry", "lattice": [[-2.711, 2.711, 5.713], [2.711, -2.711, 5.713], [2.711, 2.711, -5.713]], "species": ["Sb", "Sb", "Ru", "Ru", "Ru", "Ru", "S", "S"], "frac_coords": [[0.000, 0.000, 0.000], [0.750, 0.250, 0.500], [0.186, 0.625, 0.061], [0.375, 0.436, 0.561], [0.564, 0.125, 0.939], [0.875, 0.814, 0.439], [0.250, 0.750, 0.500], [0.500, 0.500, 0.000]], "energy_ev_per_fu": -26.5, "de_polymorph_mev_per_atom": 0, "formation_energy_uncorrected_kj_per_mol_atoms": 8}